RbBe: relaxed, PBE.

Cell lengths 12.678, 12.678, 4.226 Å; angles 90.00, 90.00, 120.00 degrees
Fractional coordinates of all 12 atoms:
1 Rb 0.213 0.426 0.250
2 Rb 0.213 0.787 0.250
3 Rb 0.426 0.213 0.750
4 Rb 0.574 0.787 0.250
5 Rb 0.787 0.213 0.750
6 Rb 0.787 0.574 0.750
7 Be 0.010 0.505 0.750
8 Be 0.495 0.505 0.750
9 Be 0.495 0.990 0.750
10 Be 0.505 0.010 0.250
11 Be 0.505 0.495 0.250
12 Be 0.990 0.495 0.250

Summary:
- SG: No. 194
- Calculated volume: 588 Å³ per cell
- N(E_F): 0.841 states/eV per atom
- Energy of formation from the pure elements: 748 meV/atom
- Calculated total energy: -1.599 eV/atom